Here is crystalline TaNb4Tc at its relaxed geometry from the Alexandria database. Energies are from PBE.

POSCAR file:
```
TaNb4Tc
1.0
3.2510 0.0000 0.0000
0.0000 3.2510 0.0000
0.0000 0.0000 9.9452
Ta Nb Tc
1 4 1
Cartesian
0.0000 0.0000 0.0000
0.0000 0.0000 3.3965
0.0000 0.0000 6.5487
1.6255 1.6255 1.6858
1.6255 1.6255 8.2594
1.6255 1.6255 4.9726
```

Results
ΔH_f (0 K), eV per formula unit: -0.9
Raw total energy, eV per atom: -10.563
Crystal system: tetragonal